# 1
Here is a geometry-optimized Y2ZnTcPd structure from Alexandria via LeMat-Bulk. Energies are from GGA-PBE.

SG	P4/mmm (123)
E_form	558	meV/atom
total magnetic moment	0.6	Bohr magnetons per cell

```
5
Lattice="-3.4684 3.9285 -0.3725 -3.1696 -2.6221 1.8582 1.4008 1.6894 4.7734" Properties=species:S:1:pos:R:3 pbc="T T T"
Y 0.7004 0.8447 2.3867
Y -1.7342 1.9643 -0.1863
Zn 0.0000 0.0000 0.0000
Tc -1.5848 -1.3111 0.9291
Pd -2.6186 1.4979 3.1295
```

# 2
Here is a geometry-optimized Zn3TcPd structure from Alexandria via LeMat-Bulk. Energies are from GGA-PBE.

ΔE to the lowest computed polymorph	0	meV/atom
SG	Pm-3m (221)
E_form	793	meV/atom
total magnetic moment	3.1	Bohr magnetons per cell

```
5
Lattice="4.6634 0.0000 0.0000 0.0000 4.6634 0.0000 0.0000 0.0000 4.6634" Properties=species:S:1:pos:R:3 pbc="T T T"
Zn 0.0000 2.3317 0.0000
Zn 0.0000 0.0000 2.3317
Zn 2.3317 0.0000 0.0000
Tc 2.3317 2.3317 2.3317
Pd 0.0000 0.0000 0.0000
```

# 3
Here is a geometry-optimized ZnTcPd3 structure from Alexandria via LeMat-Bulk. Energies are from GGA-PBE.

ΔE to the lowest computed polymorph	0	meV/atom
SG	Pm-3m (221)
E_form	863	meV/atom
total magnetic moment	4.9	Bohr magnetons per cell

```
5
Lattice="4.5855 0.0000 0.0000 0.0000 4.5855 0.0000 0.0000 0.0000 4.5855" Properties=species:S:1:pos:R:3 pbc="T T T"
Zn 0.0000 0.0000 0.0000
Tc 2.2928 2.2928 2.2928
Pd 0.0000 2.2928 0.0000
Pd 0.0000 0.0000 2.2928
Pd 2.2928 0.0000 0.0000
```

# 4
Here is a geometry-optimized Zn2Tc2Pd structure from Alexandria via LeMat-Bulk. Energies are from GGA-PBE.

ΔE to the lowest computed polymorph	286	meV/atom
SG	I4/mmm (139)
E_form	559	meV/atom
total magnetic moment	0.0	Bohr magnetons per cell

```
5
Lattice="-1.7545 -0.6506 -2.9759 2.8025 -1.6907 -1.2827 -1.6528 -6.6635 0.3548" Properties=species:S:1:pos:R:3 pbc="T T T"
Zn -1.4417 -4.2424 -2.3752
Zn 0.8368 -4.7624 -1.5286
Tc 0.1224 -2.1839 -1.6711
Tc -0.7273 -6.8209 -2.2327
Pd 0.0000 0.0000 0.0000
```

# 5
Here is a geometry-optimized Zn2Tc2Pd structure from Alexandria via LeMat-Bulk. Energies are from GGA-PBE.

ΔE to the lowest computed polymorph	0	meV/atom
SG	P4/mbm (127)
E_form	273	meV/atom
total magnetic moment	0.0	Bohr magnetons per cell

```
10
Lattice="7.2354 0.0000 0.0000 0.0000 7.2354 0.0000 0.0000 0.0000 2.9853" Properties=species:S:1:pos:R:3 pbc="T T T"
Zn 1.3452 4.9629 1.4926
Zn 4.9629 5.8902 1.4926
Zn 5.8902 2.2725 1.4926
Zn 2.2725 1.3452 1.4926
Tc 2.8264 6.4440 0.0000
Tc 6.4440 4.4090 0.0000
Tc 4.4090 0.7913 0.0000
Tc 0.7913 2.8264 0.0000
Pd 0.0000 0.0000 0.0000
Pd 3.6177 3.6177 0.0000
```

# 6
Here is a geometry-optimized ZnTcPd3 structure from Alexandria via LeMat-Bulk. Energies are from GGA-PBE.

ΔE to the lowest computed polymorph	287	meV/atom
SG	Pm-3m (221)
E_form	1150	meV/atom
total magnetic moment	0.0	Bohr magnetons per cell

```
5
Lattice="4.7860 0.0000 0.0000 0.0000 4.7860 0.0000 0.0000 0.0000 4.7860" Properties=species:S:1:pos:R:3 pbc="T T T"
Zn 2.3930 2.3930 2.3930
Tc 0.0000 0.0000 0.0000
Pd 0.0000 2.3930 0.0000
Pd 0.0000 0.0000 2.3930
Pd 2.3930 0.0000 0.0000
```

# 7
Here is a geometry-optimized Zr3Zn3TcPd2 structure from Alexandria via LeMat-Bulk. Energies are from GGA-PBE.

SG	P-62m (189)
E_form	-387	meV/atom
total magnetic moment	0.0	Bohr magnetons per cell

```
9
Lattice="-1.8527 -2.5688 0.0055 5.9619 -4.2954 2.0882 -4.4412 3.2146 5.3196" Properties=species:S:1:pos:R:3 pbc="T T T"
Zr 3.3510 -4.3662 1.5009
Zr -4.1127 1.0219 3.8193
Zr -0.4967 -1.5898 2.0959
Zn 0.9548 -0.6786 4.6511
Zn -1.6527 1.1962 1.9796
Zn 2.2186 -1.5985 0.7771
Tc 0.0000 0.0000 0.0000
Pd 1.5679 -3.0765 3.1681
Pd -1.8999 -0.5732 4.2452
```

# 8
Here is a geometry-optimized ZrTc3Pd structure from Alexandria via LeMat-Bulk. Energies are from GGA-PBE.

ΔE to the lowest computed polymorph	0	meV/atom
SG	Pm-3m (221)
E_form	1653	meV/atom
total magnetic moment	1.5	Bohr magnetons per cell

```
5
Lattice="-1.7737 -1.6058 4.0186 2.2994 -4.0289 -0.5950 3.6661 1.7501 2.3174" Properties=species:S:1:pos:R:3 pbc="T T T"
Zr 2.0959 -1.9423 2.8705
Tc 1.1497 -2.0145 -0.2975
Tc 1.8330 0.8750 1.1587
Tc -0.8869 -0.8029 2.0093
Pd 0.0000 0.0000 0.0000
```

# 9
Here is a geometry-optimized ZrTc3Pd structure from Alexandria via LeMat-Bulk. Energies are from GGA-PBE.

ΔE to the lowest computed polymorph	321	meV/atom
SG	Pm-3m (221)
E_form	1975	meV/atom
total magnetic moment	0.0	Bohr magnetons per cell

```
5
Lattice="-0.8383 3.1907 3.3475 -3.7717 1.4968 -2.3712 -2.6759 -3.1093 2.2936" Properties=species:S:1:pos:R:3 pbc="T T T"
Zr 0.0000 0.0000 0.0000
Tc -1.8859 0.7484 -1.1856
Tc -1.3380 -1.5547 1.1468
Tc -0.4191 1.5954 1.6738
Pd -3.6430 0.7891 1.6349
```

# 10
Here is a geometry-optimized ZrTcPd structure from Alexandria via LeMat-Bulk. Energies are from GGA-PBE.

ΔE to the lowest computed polymorph	85	meV/atom
SG	C2 (5)
E_form	-263	meV/atom
total magnetic moment	0.0	Bohr magnetons per cell

```
12
Lattice="-3.9465 -3.3085 -2.4626 -1.7797 -1.3434 4.6570 -1.2959 7.9977 1.8118" Properties=species:S:1:pos:R:3 pbc="T T T"
Zr -1.1903 -0.8985 3.1148
Zr -0.9484 3.7720 1.6922
Zr -3.3719 1.7779 1.6390
Zr -3.6138 -2.8926 3.0616
Tc -2.9615 -0.8381 0.9344
Tc -3.7159 4.4440 2.1699
Tc -4.4993 2.4890 4.1688
Tc -3.9577 -0.2265 3.5924
Pd -0.6242 1.0517 1.1865
Pd -5.3156 3.1110 -0.0123
Pd -2.1620 4.3788 4.4209
Pd -5.5575 -1.5595 1.4103
```

# 11
Here is a geometry-optimized Zr3TcPd structure from Alexandria via LeMat-Bulk. Energies are from GGA-PBE.

ΔE to the lowest computed polymorph	0	meV/atom
SG	Pm-3m (221)
E_form	474	meV/atom
total magnetic moment	0.0	Bohr magnetons per cell

```
5
Lattice="4.9766 0.0000 0.0000 0.0000 4.9766 0.0000 0.0000 0.0000 4.9766" Properties=species:S:1:pos:R:3 pbc="T T T"
Zr 0.0000 2.4883 0.0000
Zr 0.0000 0.0000 2.4883
Zr 2.4883 0.0000 0.0000
Tc 0.0000 0.0000 0.0000
Pd 2.4883 2.4883 2.4883
```

# 12
Here is a geometry-optimized ZrTcPd structure from Alexandria via LeMat-Bulk. Energies are from GGA-PBE.

ΔE to the lowest computed polymorph	9	meV/atom
SG	Cm (8)
E_form	-339	meV/atom
total magnetic moment	0.0	Bohr magnetons per cell

```
12
Lattice="5.6797 0.0000 0.0121 0.0000 4.2654 0.0000 -2.4778 0.0000 8.4518" Properties=species:S:1:pos:R:3 pbc="T T T"
Zr 3.0550 0.0000 3.7786
Zr 1.8161 2.1327 8.0045
Zr 0.3097 0.0000 1.2980
Zr -0.9292 2.1327 5.5239
Tc 0.4176 0.0000 6.6545
Tc 1.6565 2.1327 2.4286
Tc 0.3541 0.0000 4.0542
Tc -0.8848 2.1327 8.2801
Pd 3.1359 0.0000 1.0463
Pd 1.8970 2.1327 5.2722
Pd 3.2684 0.0000 6.8079
Pd 4.5073 2.1327 2.5820
```